No. 1
# UCo2 | the Open Quantum Materials Database | GGA-PBE | relaxed
# Calculated density = 11.47 g/cm³
# DFT total energy = -0.2829 Ha/atom
# Formation energy = 0.80 eV per atom
# Space-group type = P4_2/mnm, No. 136
data_UCo2
_chemical_formula_sum 'U2 Co4'
_cell_length_a 4.7542
_cell_length_b 4.7542
_cell_length_c 4.5591
_cell_angle_alpha 90.00
_cell_angle_beta 90.00
_cell_angle_gamma 90.00
_symmetry_space_group_name_H-M 'P 1'
_symmetry_Int_Tables_number 1
loop_
_symmetry_equiv_pos_as_xyz
'x,y,z'
loop_
_atom_site_label
_atom_site_type_symbol
_atom_site_fract_x
_atom_site_fract_y
_atom_site_fract_z
_atom_site_occupancy
Co1 Co 0.1733 0.8267 0.5000 1
Co2 Co 0.8267 0.1733 0.5000 1
U1 U 0.0000 0.0000 0.0000 1
U2 U 0.5000 0.5000 0.5000 1
Co3 Co 0.6733 0.6733 0.0000 1
Co4 Co 0.3267 0.3267 0.0000 1



No. 2
# LaTbPO | the Open Quantum Materials Database | GGA-PBE | relaxed
# Calculated density = 5.74 g/cm³
# DFT total energy = -0.2581 Ha/atom
# Polymorph energy (0 for the lowest one) = 0.0000 eV/atom
# Space-group type = Pmc2_1, No. 26
data_LaTbPO
_chemical_formula_sum 'La2 Tb2 P2 O2'
_cell_length_a 4.3505
_cell_length_b 7.5411
_cell_length_c 6.0780
_cell_angle_alpha 90.00
_cell_angle_beta 90.00
_cell_angle_gamma 90.00
_symmetry_space_group_name_H-M 'P 1'
_symmetry_Int_Tables_number 1
loop_
_symmetry_equiv_pos_as_xyz
'x,y,z'
loop_
_atom_site_label
_atom_site_type_symbol
_atom_site_fract_x
_atom_site_fract_y
_atom_site_fract_z
_atom_site_occupancy
P1 P 0.0000 0.3215 0.4353 1
Tb1 Tb 0.5000 0.1196 0.5072 1
O1 O 0.5000 0.8405 0.3714 1
La1 La 0.0000 0.7006 0.4401 1
P2 P 0.0000 0.6785 0.9353 1
La2 La 0.0000 0.2994 0.9401 1
O2 O 0.5000 0.1595 0.8714 1
Tb2 Tb 0.5000 0.8804 0.0072 1



No. 3
# Zr2H | the Open Quantum Materials Database | GGA-PBE | relaxed
# Calculated density = 6.14 g/cm³
# DFT total energy = -0.2587 Ha/atom
# Space-group type = R-3m, No. 166
data_Zr2H
_chemical_formula_sum 'Zr4 H2'
_cell_length_a 10.8531
_cell_length_b 10.8531
_cell_length_c 10.8531
_cell_angle_alpha 17.35
_cell_angle_beta 17.35
_cell_angle_gamma 17.35
_symmetry_space_group_name_H-M 'P 1'
_symmetry_Int_Tables_number 1
loop_
_symmetry_equiv_pos_as_xyz
'x,y,z'
loop_
_atom_site_label
_atom_site_type_symbol
_atom_site_fract_x
_atom_site_fract_y
_atom_site_fract_z
_atom_site_occupancy
Zr1 Zr 0.6264 0.6264 0.6264 1
H1 H 0.1476 0.1476 0.1476 1
H2 H 0.8524 0.8524 0.8524 1
Zr2 Zr 0.2134 0.2134 0.2134 1
Zr3 Zr 0.7866 0.7866 0.7866 1
Zr4 Zr 0.3736 0.3736 0.3736 1



Among the records above, which one has the highest calculated density?
UCo2



Please write out number 3 again, unchanged.
# Zr2H | the Open Quantum Materials Database | GGA-PBE | relaxed
# Calculated density = 6.14 g/cm³
# DFT total energy = -0.2587 Ha/atom
# Space-group type = R-3m, No. 166
data_Zr2H
_chemical_formula_sum 'Zr4 H2'
_cell_length_a 10.8531
_cell_length_b 10.8531
_cell_length_c 10.8531
_cell_angle_alpha 17.35
_cell_angle_beta 17.35
_cell_angle_gamma 17.35
_symmetry_space_group_name_H-M 'P 1'
_symmetry_Int_Tables_number 1
loop_
_symmetry_equiv_pos_as_xyz
'x,y,z'
loop_
_atom_site_label
_atom_site_type_symbol
_atom_site_fract_x
_atom_site_fract_y
_atom_site_fract_z
_atom_site_occupancy
Zr1 Zr 0.6264 0.6264 0.6264 1
H1 H 0.1476 0.1476 0.1476 1
H2 H 0.8524 0.8524 0.8524 1
Zr2 Zr 0.2134 0.2134 0.2134 1
Zr3 Zr 0.7866 0.7866 0.7866 1
Zr4 Zr 0.3736 0.3736 0.3736 1



Among the records above, which one has the lowest DFT total energy?
UCo2



Which value of calculated density does entry 2 give?
5.74 g/cm³